1.
This record from Alexandria describes a relaxed structure of Zr2AlFe3. The functional is GGA-PBEsol.

Cell lengths 4.942, 4.942, 4.964 Å; angles 60.14, 60.14, 60.00 degrees
Each line ends with the local moment (μB).
Atoms (fractional coordinates):
Fe  0.500  0.500  0.000  1.50
Fe  0.500  0.000  0.000  1.50
Fe  0.000  0.500  0.000  1.50
Zr  0.121  0.121  0.637  -0.28
Zr  0.879  0.879  0.363  -0.28
Al  0.500  0.500  0.500  -0.03

SG   R-3m (166)
E_tot   -8.570 eV/atom

=====

2.
This record from Alexandria describes a relaxed structure of ZrAl6Fe2. The functional is GGA-PBEsol.

Cell lengths 2.719, 7.570, 7.570 Å; angles 120.00, 90.00, 90.00 degrees
Each line ends with the local moment (μB).
Atoms (fractional coordinates):
Al  0.500  0.675  0.675  -0.01
Al  0.500  0.000  0.325  -0.01
Al  0.500  0.325  0.000  -0.01
Al  0.000  0.374  0.374  -0.02
Al  0.000  0.000  0.626  -0.02
Al  0.000  0.626  0.000  -0.02
Fe  0.500  0.667  0.333  1.65
Fe  0.500  0.333  0.667  1.65
Zr  0.000  0.000  0.000  0.03

SG   P-62m (189)
E_tot   -5.711 eV/atom

=====

3.
This record from Alexandria describes a relaxed structure of ZrAl2Fe2. The functional is GGA-PBEsol.

Cell lengths 3.645, 3.645, 6.211 Å; angles 107.06, 107.06, 90.00 degrees
Each line ends with the local moment (μB).
Atoms (fractional coordinates):
Fe  0.250  0.750  0.500  2.11
Fe  0.750  0.250  0.500  2.11
Zr  0.000  0.000  0.000  0.01
Al  0.390  0.390  0.779  -0.03
Al  0.610  0.610  0.221  -0.03

SG   I4/mmm (139)
E_tot   -7.203 eV/atom

=====

Summary of V in Å³ per atom
14.32; 14.99; 15.02
(order as listed above)
Summary of energy of formation from the pure elements in eV/atom
-0.376; 0.019; -0.163
(order as listed above)